A plane-wave DFT calculation with PBE-GGA was carried out for crystalline SrV2SiSb at its relaxed geometry.

Results
Raw total energy   -4.948 eV/atom
M_tot   5.176 μB/cell

Cell: 5.074 6.095 5.074 Å, 90.00 90.00 90.00°
Each line ends with the local moment (μB).
Fractional positions:
V1 0.500 0.000 0.000  2.41
V2 0.000 0.000 0.500  2.80
Si1 0.500 0.500 0.500  -0.27
Sb1 0.000 0.000 0.000  -0.13
Sr1 0.000 0.500 0.000  -0.04